A plane-wave DFT calculation with PBE+U was carried out for crystalline BaMn2PF at its relaxed geometry.

- DFT total energy (eV per atom) = -4.375
- V (Å³/atom) = 37.90

The structure in CIF format:
```
data_BaMn2PF
_cell_length_a 6.3598
_cell_length_b 6.3598
_cell_length_c 4.6854
_cell_angle_alpha 90.00
_cell_angle_beta 90.00
_cell_angle_gamma 90.00
_space_group_name_H-M_alt 'P 4/m m m'
_space_group_IT_number 123
_space_group_name_Hall '-P 4 2'
loop_
_atom_site_label
_atom_site_fract_x
_atom_site_fract_y
_atom_site_fract_z
Ba1 0.0000 0.0000 0.0000
Mn1 0.0000 0.5000 0.0000
P1 0.5000 0.5000 0.5000
F1 0.0000 0.0000 0.5000
```